Entry 1:
## Zr2NiAg2 (PBE)

Data for a geometry-optimized Zr2NiAg2 structure. Values from VASP.

Properties
Space group = I4/mmm (139)
E above lowest polymorph = 149 meV/atom
Formation enthalpy at 0 K = 0.341 eV/atom

```
&SYSTEM
  ibrav = 0, nat = 5, ntyp = 3
/
ATOMIC_SPECIES
Zr 91.22 Zr.upf
Ni 58.69 Ni.upf
Ag 107.87 Ag.upf
CELL_PARAMETERS angstrom
-1.803 1.803 7.898
1.803 -1.803 7.898
1.803 1.803 -7.898
ATOMIC_POSITIONS crystal
Zr 0.090 0.090 0.000
Zr 0.910 0.910 0.000
Ni 0.500 0.500 0.000
Ag 0.250 0.750 0.500
Ag 0.750 0.250 0.500
```

***

Entry 2:
## NbZn2Pd2 (PBE)

Data for a geometry-optimized NbZn2Pd2 structure. Values from VASP.

Properties
Space group = P4/mbm (127)
E above lowest polymorph = 52 meV/atom
Formation enthalpy at 0 K = -0.229 eV/atom

```
&SYSTEM
  ibrav = 0, nat = 10, ntyp = 3
/
ATOMIC_SPECIES
Nb 92.91 Nb.upf
Zn 65.41 Zn.upf
Pd 106.42 Pd.upf
CELL_PARAMETERS angstrom
7.468 0.000 0.000
0.000 7.468 0.000
0.000 0.000 2.799
ATOMIC_POSITIONS crystal
Nb 0.000 0.000 0.000
Nb 0.500 0.500 0.000
Zn 0.165 0.335 0.500
Zn 0.335 0.835 0.500
Zn 0.665 0.165 0.500
Zn 0.835 0.665 0.500
Pd 0.133 0.633 0.000
Pd 0.367 0.133 0.000
Pd 0.633 0.867 0.000
Pd 0.867 0.367 0.000
```

***

Entry 3:
## HgSeI2O (PBE)

Data for a geometry-optimized HgSeI2O structure. Values from VASP.

Properties
Space group = P4/mmm (123)
Energy relative to the elements, uncorrected = 0.04 eV/atom
E above lowest polymorph = 0 meV/atom

```
&SYSTEM
  ibrav = 0, nat = 5, ntyp = 4
/
ATOMIC_SPECIES
Hg 200.59 Hg.upf
Se 78.96 Se.upf
I 126.90 I.upf
O 16.00 O.upf
CELL_PARAMETERS angstrom
5.997 0.000 0.000
0.000 5.997 0.000
0.000 0.000 3.843
ATOMIC_POSITIONS crystal
Hg 0.000 0.000 0.000
Se 0.500 0.500 0.500
I 0.000 0.500 0.500
I 0.500 0.000 0.500
O 0.500 0.500 0.000
```

***

Entry 4:
## GdY2Sn (PBE)

Data for a geometry-optimized GdY2Sn structure. Values from VASP.

Properties
Space group = R-3m (166)
E above lowest polymorph = 484 meV/atom
Formation enthalpy at 0 K = 0.050 eV/atom

```
&SYSTEM
  ibrav = 0, nat = 4, ntyp = 3
/
ATOMIC_SPECIES
Gd 157.25 Gd.upf
Y 88.91 Y.upf
Sn 118.71 Sn.upf
CELL_PARAMETERS angstrom
1.763 1.018 11.959
-1.763 1.018 11.959
0.000 -2.036 11.959
ATOMIC_POSITIONS crystal
Gd 0.000 0.000 0.000
Y 0.413 0.413 0.413
Y 0.587 0.587 0.587
Sn 0.500 0.500 0.500
```

***

Entry 5:
## HoAl3 (PBE)

Data for a geometry-optimized HoAl3 structure. Values from VASP.

Properties
Space group = P6_3/mmc (194)
Formation enthalpy at 0 K = -0.416 eV/atom

```
&SYSTEM
  ibrav = 0, nat = 8, ntyp = 2
/
ATOMIC_SPECIES
Ho 164.93 Ho.upf
Al 26.98 Al.upf
CELL_PARAMETERS angstrom
6.148 0.000 0.000
-3.074 5.324 0.000
0.000 0.000 4.735
ATOMIC_POSITIONS crystal
Ho 0.333 0.667 0.250
Ho 0.667 0.333 0.750
Al 0.149 0.299 0.750
Al 0.149 0.851 0.750
Al 0.299 0.149 0.250
Al 0.701 0.851 0.750
Al 0.851 0.149 0.250
Al 0.851 0.701 0.250
```

***

Entry 6:
## LuHgBiPd (PBE)

Data for a geometry-optimized LuHgBiPd structure. Values from VASP.

Properties
Space group = F-43m (216)
Formation enthalpy at 0 K = -0.421 eV/atom

```
&SYSTEM
  ibrav = 0, nat = 4, ntyp = 4
/
ATOMIC_SPECIES
Lu 174.97 Lu.upf
Hg 200.59 Hg.upf
Bi 208.98 Bi.upf
Pd 106.42 Pd.upf
CELL_PARAMETERS angstrom
0.000 3.582 3.582
3.582 0.000 3.582
3.582 3.582 0.000
ATOMIC_POSITIONS crystal
Lu 0.000 0.000 0.000
Hg 0.250 0.250 0.250
Bi 0.500 0.500 0.500
Pd 0.750 0.750 0.750
```

***

Entry 7:
## Pm2Sb4Pd3Rh (PBE)

Data for a geometry-optimized Pm2Sb4Pd3Rh structure. Values from VASP.

Properties
Space group = P-4m2 (115)
Energy relative to the elements, uncorrected = -0.77 eV/atom

```
&SYSTEM
  ibrav = 0, nat = 10, ntyp = 4
/
ATOMIC_SPECIES
Pm 145.00 Pm.upf
Sb 121.76 Sb.upf
Pd 106.42 Pd.upf
Rh 102.91 Rh.upf
CELL_PARAMETERS angstrom
4.533 0.000 0.000
0.000 4.533 0.000
0.000 0.000 10.944
ATOMIC_POSITIONS crystal
Pm 0.000 0.500 0.232
Pm 0.500 0.000 0.768
Sb 0.000 0.000 0.500
Sb 0.000 0.500 0.872
Sb 0.500 0.000 0.128
Sb 0.500 0.500 0.500
Pd 0.000 0.000 0.000
Pd 0.000 0.500 0.636
Pd 0.500 0.000 0.364
Rh 0.500 0.500 0.000
```

***

Entry 8:
## PaNi6Pt (PBE)

Data for a geometry-optimized PaNi6Pt structure. Values from VASP.

Properties
Space group = Pm-3 (200)
Formation enthalpy at 0 K = -0.167 eV/atom

```
&SYSTEM
  ibrav = 0, nat = 8, ntyp = 3
/
ATOMIC_SPECIES
Pa 231.04 Pa.upf
Ni 58.69 Ni.upf
Pt 195.08 Pt.upf
CELL_PARAMETERS angstrom
4.746 0.000 0.000
0.000 4.746 0.000
0.000 0.000 4.746
ATOMIC_POSITIONS crystal
Pa 0.000 0.000 0.000
Ni 0.000 0.256 0.500
Ni 0.000 0.744 0.500
Ni 0.256 0.500 0.000
Ni 0.500 0.000 0.256
Ni 0.500 0.000 0.744
Ni 0.744 0.500 0.000
Pt 0.500 0.500 0.500
```

***

no.,size of the total moment (μB/f.u.),mass density (g cm⁻³)
1,1.540,7.385
2,0.000,9.287
3,0.000,6.600
4,7.216,5.850
5,0.000,5.269
6,0.000,12.481
7,0.000,8.857
8,0.000,12.087